Below is a relaxed structure of Pr2Cu3Ag, with properties calculated at the PBE level.

Results
As for the space-group type: Fmmm (69). The energy comes out at -4.31 eV per atom. Its formation energy is -197 meV per atom.

Structure (POSCAR):
```
Pr2Cu3Ag
1.0
-3.400 -3.381 3.331
1.495 -3.872 -4.106
7.055 1.581 4.539
Ag Pr Cu
2 4 6
direct
0.666 0.666 0.333
0.334 0.334 0.667
0.247 0.247 0.000
0.753 0.753 0.000
0.250 0.750 0.500
0.750 0.250 0.500
0.838 0.838 0.677
0.677 0.161 0.838
0.162 0.162 0.323
0.161 0.677 0.838
0.323 0.839 0.162
0.839 0.323 0.162
```